Entry i
Computed, not measured: a relaxed structure of NdSc4Si4 at the PBE level of DFT.

Summary:
- SG: No. 19

CIF file:
```
data_NdSc4Si4
_chemical_formula_sum 'Nd4 Sc16 Si16'
_symmetry_space_group_name_H-M 'P 1'
_symmetry_Int_Tables_number 1
_cell_length_a 7.111
_cell_length_b 7.353
_cell_length_c 13.936
_cell_angle_alpha 90.00
_cell_angle_beta 90.00
_cell_angle_gamma 90.00
loop_
_symmetry_equiv_pos_as_xyz
'x,y,z'
loop_
_atom_site_label
_atom_site_type_symbol
_atom_site_fract_x
_atom_site_fract_y
_atom_site_fract_z
Nd1 Nd 0.234 0.175 0.158
Nd2 Nd 0.266 0.825 0.658
Nd3 Nd 0.734 0.325 0.842
Nd4 Nd 0.766 0.675 0.342
Sc1 Sc 0.071 0.673 0.877
Sc2 Sc 0.075 0.679 0.127
Sc3 Sc 0.096 0.504 0.501
Sc4 Sc 0.224 0.183 0.855
Sc5 Sc 0.276 0.817 0.355
Sc6 Sc 0.404 0.496 0.001
Sc7 Sc 0.425 0.321 0.627
Sc8 Sc 0.429 0.327 0.377
Sc9 Sc 0.571 0.827 0.123
Sc10 Sc 0.575 0.821 0.873
Sc11 Sc 0.596 0.996 0.499
Sc12 Sc 0.724 0.317 0.145
Sc13 Sc 0.776 0.683 0.645
Sc14 Sc 0.904 0.004 0.999
Sc15 Sc 0.925 0.179 0.373
Sc16 Sc 0.929 0.173 0.623
Si1 Si 0.026 0.373 0.002
Si2 Si 0.089 0.460 0.712
Si3 Si 0.112 0.477 0.295
Si4 Si 0.225 0.114 0.498
Si5 Si 0.275 0.886 0.998
Si6 Si 0.388 0.523 0.795
Si7 Si 0.411 0.540 0.212
Si8 Si 0.474 0.627 0.502
Si9 Si 0.526 0.127 0.998
Si10 Si 0.589 0.040 0.288
Si11 Si 0.612 0.023 0.705
Si12 Si 0.725 0.386 0.502
Si13 Si 0.775 0.614 0.002
Si14 Si 0.888 0.977 0.205
Si15 Si 0.911 0.960 0.788
Si16 Si 0.974 0.873 0.498
```

***

Entry ii
Computed, not measured: a relaxed structure of NdSc4Si4 at the PBE level of DFT.

Summary:
- SG: No. 86

CIF file:
```
data_NdSc4Si4
_chemical_formula_sum 'Nd2 Sc8 Si8'
_symmetry_space_group_name_H-M 'P 1'
_symmetry_Int_Tables_number 1
_cell_length_a 8.842
_cell_length_b 8.842
_cell_length_c 5.335
_cell_angle_alpha 90.00
_cell_angle_beta 90.00
_cell_angle_gamma 90.00
loop_
_symmetry_equiv_pos_as_xyz
'x,y,z'
loop_
_atom_site_label
_atom_site_type_symbol
_atom_site_fract_x
_atom_site_fract_y
_atom_site_fract_z
Nd1 Nd 0.250 0.250 0.250
Nd2 Nd 0.750 0.750 0.750
Sc1 Sc 0.112 0.634 0.131
Sc2 Sc 0.134 0.888 0.631
Sc3 Sc 0.366 0.612 0.631
Sc4 Sc 0.388 0.866 0.131
Sc5 Sc 0.612 0.134 0.869
Sc6 Sc 0.634 0.388 0.369
Sc7 Sc 0.866 0.112 0.369
Sc8 Sc 0.888 0.366 0.869
Si1 Si 0.061 0.582 0.643
Si2 Si 0.082 0.939 0.143
Si3 Si 0.418 0.561 0.143
Si4 Si 0.439 0.918 0.643
Si5 Si 0.561 0.082 0.357
Si6 Si 0.582 0.439 0.857
Si7 Si 0.918 0.061 0.857
Si8 Si 0.939 0.418 0.357
```

***

It is entry i that is the most stable of them.

***

Entry i
Computed, not measured: a relaxed structure of Nd2ScSi2 at the PBE level of DFT.

Summary:
- SG: No. 127

CIF file:
```
data_Nd2ScSi2
_chemical_formula_sum 'Nd4 Sc2 Si4'
_symmetry_space_group_name_H-M 'P 1'
_symmetry_Int_Tables_number 1
_cell_length_a 7.384
_cell_length_b 7.384
_cell_length_c 4.414
_cell_angle_alpha 90.00
_cell_angle_beta 90.00
_cell_angle_gamma 90.00
loop_
_symmetry_equiv_pos_as_xyz
'x,y,z'
loop_
_atom_site_label
_atom_site_type_symbol
_atom_site_fract_x
_atom_site_fract_y
_atom_site_fract_z
Nd1 Nd 0.178 0.322 0.000
Nd2 Nd 0.322 0.822 0.000
Nd3 Nd 0.678 0.178 0.000
Nd4 Nd 0.822 0.678 0.000
Sc1 Sc 0.000 0.000 0.500
Sc2 Sc 0.500 0.500 0.500
Si1 Si 0.118 0.618 0.500
Si2 Si 0.382 0.118 0.500
Si3 Si 0.618 0.882 0.500
Si4 Si 0.882 0.382 0.500
```

***

Entry ii
Computed, not measured: a relaxed structure of Nd2ScSi2 at the PBE level of DFT.

Summary:
- SG: No. 71

CIF file:
```
data_Nd2ScSi2
_chemical_formula_sum 'Nd2 Sc1 Si2'
_symmetry_space_group_name_H-M 'P 1'
_symmetry_Int_Tables_number 1
_cell_length_a 5.983
_cell_length_b 5.983
_cell_length_c 5.983
_cell_angle_alpha 138.33
_cell_angle_beta 119.27
_cell_angle_gamma 76.36
loop_
_symmetry_equiv_pos_as_xyz
'x,y,z'
loop_
_atom_site_label
_atom_site_type_symbol
_atom_site_fract_x
_atom_site_fract_y
_atom_site_fract_z
Nd1 Nd 0.205 0.205 0.000
Nd2 Nd 0.795 0.795 0.000
Sc1 Sc 0.500 0.000 0.500
Si1 Si 0.206 0.500 0.706
Si2 Si 0.794 0.500 0.294
```

***

It is entry i that is the most stable of them.

***

Entry i
Computed, not measured: a relaxed structure of NdSm6Sc2 at the PBE level of DFT.

Summary:
- SG: No. 15

CIF file:
```
data_NdSm6Sc2
_chemical_formula_sum 'Nd2 Sm12 Sc4'
_symmetry_space_group_name_H-M 'P 1'
_symmetry_Int_Tables_number 1
_cell_length_a 7.313
_cell_length_b 7.313
_cell_length_c 11.946
_cell_angle_alpha 108.13
_cell_angle_beta 108.13
_cell_angle_gamma 87.06
loop_
_symmetry_equiv_pos_as_xyz
'x,y,z'
loop_
_atom_site_label
_atom_site_type_symbol
_atom_site_fract_x
_atom_site_fract_y
_atom_site_fract_z
Nd1 Nd 0.204 0.796 0.750
Nd2 Nd 0.796 0.204 0.250
Sm1 Sm 0.098 0.875 0.105
Sm2 Sm 0.125 0.902 0.395
Sm3 Sm 0.194 0.480 0.433
Sm4 Sm 0.287 0.376 0.150
Sm5 Sm 0.376 0.287 0.650
Sm6 Sm 0.480 0.194 0.933
Sm7 Sm 0.520 0.806 0.067
Sm8 Sm 0.624 0.713 0.350
Sm9 Sm 0.713 0.624 0.850
Sm10 Sm 0.806 0.520 0.567
Sm11 Sm 0.875 0.098 0.605
Sm12 Sm 0.902 0.125 0.895
Sc1 Sc 0.137 0.471 0.866
Sc2 Sc 0.471 0.137 0.366
Sc3 Sc 0.529 0.863 0.634
Sc4 Sc 0.863 0.529 0.134
```

***

Entry ii
Computed, not measured: a relaxed structure of NdSm6Sc2 at the PBE level of DFT.

Summary:
- SG: No. 121

CIF file:
```
data_NdSm6Sc2
_chemical_formula_sum 'Nd1 Sm6 Sc2'
_symmetry_space_group_name_H-M 'P 1'
_symmetry_Int_Tables_number 1
_cell_length_a 9.185
_cell_length_b 9.185
_cell_length_c 9.185
_cell_angle_alpha 140.44
_cell_angle_beta 140.44
_cell_angle_gamma 57.18
loop_
_symmetry_equiv_pos_as_xyz
'x,y,z'
loop_
_atom_site_label
_atom_site_type_symbol
_atom_site_fract_x
_atom_site_fract_y
_atom_site_fract_z
Nd1 Nd 0.000 0.000 0.000
Sm1 Sm 0.234 0.585 0.000
Sm2 Sm 0.250 0.750 0.500
Sm3 Sm 0.415 0.415 0.650
Sm4 Sm 0.585 0.234 0.000
Sm5 Sm 0.750 0.250 0.500
Sm6 Sm 0.766 0.766 0.350
Sc1 Sc 0.203 0.203 0.000
Sc2 Sc 0.797 0.797 0.000
```

***

It is entry i that is the most stable of them.

***

Entry i
Computed, not measured: a relaxed structure of Nd5SmSc2 at the PBE level of DFT.

Summary:
- SG: No. 140

CIF file:
```
data_Nd5SmSc2
_chemical_formula_sum 'Nd10 Sm2 Sc4'
_symmetry_space_group_name_H-M 'P 1'
_symmetry_Int_Tables_number 1
_cell_length_a 8.986
_cell_length_b 8.986
_cell_length_c 8.986
_cell_angle_alpha 118.63
_cell_angle_beta 118.63
_cell_angle_gamma 92.39
loop_
_symmetry_equiv_pos_as_xyz
'x,y,z'
loop_
_atom_site_label
_atom_site_type_symbol
_atom_site_fract_x
_atom_site_fract_y
_atom_site_fract_z
Nd1 Nd 0.000 0.000 0.000
Nd2 Nd 0.012 0.512 0.207
Nd3 Nd 0.195 0.988 0.500
Nd4 Nd 0.305 0.805 0.793
Nd5 Nd 0.488 0.695 0.500
Nd6 Nd 0.500 0.500 0.000
Nd7 Nd 0.512 0.305 0.500
Nd8 Nd 0.695 0.195 0.207
Nd9 Nd 0.805 0.012 0.500
Nd10 Nd 0.988 0.488 0.793
Sm1 Sm 0.250 0.250 0.000
Sm2 Sm 0.750 0.750 0.000
Sc1 Sc 0.152 0.348 0.500
Sc2 Sc 0.348 0.848 0.195
Sc3 Sc 0.652 0.152 0.805
Sc4 Sc 0.848 0.652 0.500
```

***

Entry ii
Computed, not measured: a relaxed structure of Nd5SmSc2 at the PBE level of DFT.

Summary:
- SG: No. 55

CIF file:
```
data_Nd5SmSc2
_chemical_formula_sum 'Nd10 Sm2 Sc4'
_symmetry_space_group_name_H-M 'P 1'
_symmetry_Int_Tables_number 1
_cell_length_a 7.129
_cell_length_b 14.260
_cell_length_c 5.041
_cell_angle_alpha 90.00
_cell_angle_beta 90.00
_cell_angle_gamma 90.00
loop_
_symmetry_equiv_pos_as_xyz
'x,y,z'
loop_
_atom_site_label
_atom_site_type_symbol
_atom_site_fract_x
_atom_site_fract_y
_atom_site_fract_z
Nd1 Nd 0.000 0.000 0.000
Nd2 Nd 0.001 0.251 0.000
Nd3 Nd 0.249 0.624 0.500
Nd4 Nd 0.251 0.124 0.500
Nd5 Nd 0.499 0.751 0.000
Nd6 Nd 0.500 0.500 0.000
Nd7 Nd 0.501 0.249 0.000
Nd8 Nd 0.749 0.876 0.500
Nd9 Nd 0.751 0.376 0.500
Nd10 Nd 0.999 0.749 0.000
Sm1 Sm 0.000 0.500 0.000
Sm2 Sm 0.500 0.000 0.000
Sc1 Sc 0.250 0.375 0.500
Sc2 Sc 0.250 0.875 0.500
Sc3 Sc 0.750 0.125 0.500
Sc4 Sc 0.750 0.625 0.500
```

***

It is entry ii that is the most stable of them.

***

Entry i
Computed, not measured: a relaxed structure of Nd2Sm2Sc at the PBE level of DFT.

Summary:
- SG: No. 74

CIF file:
```
data_Nd2Sm2Sc
_chemical_formula_sum 'Nd4 Sm4 Sc2'
_symmetry_space_group_name_H-M 'P 1'
_symmetry_Int_Tables_number 1
_cell_length_a 16.389
_cell_length_b 16.389
_cell_length_c 16.389
_cell_angle_alpha 167.51
_cell_angle_beta 159.86
_cell_angle_gamma 23.77
loop_
_symmetry_equiv_pos_as_xyz
'x,y,z'
loop_
_atom_site_label
_atom_site_type_symbol
_atom_site_fract_x
_atom_site_fract_y
_atom_site_fract_z
Nd1 Nd 0.044 0.294 0.750
Nd2 Nd 0.438 0.188 0.250
Nd3 Nd 0.562 0.812 0.750
Nd4 Nd 0.956 0.706 0.250
Sm1 Sm 0.134 0.884 0.250
Sm2 Sm 0.231 0.981 0.250
Sm3 Sm 0.769 0.019 0.750
Sm4 Sm 0.866 0.116 0.750
Sc1 Sc 0.325 0.575 0.750
Sc2 Sc 0.675 0.425 0.250
```

***

Entry ii
Computed, not measured: a relaxed structure of Nd2Sm2Sc at the PBE level of DFT.

Summary:
- SG: No. 15

CIF file:
```
data_Nd2Sm2Sc
_chemical_formula_sum 'Nd4 Sm4 Sc2'
_symmetry_space_group_name_H-M 'P 1'
_symmetry_Int_Tables_number 1
_cell_length_a 6.366
_cell_length_b 6.366
_cell_length_c 9.294
_cell_angle_alpha 111.01
_cell_angle_beta 111.01
_cell_angle_gamma 85.61
loop_
_symmetry_equiv_pos_as_xyz
'x,y,z'
loop_
_atom_site_label
_atom_site_type_symbol
_atom_site_fract_x
_atom_site_fract_y
_atom_site_fract_z
Nd1 Nd 0.134 0.280 0.344
Nd2 Nd 0.280 0.134 0.844
Nd3 Nd 0.720 0.866 0.156
Nd4 Nd 0.866 0.720 0.656
Sm1 Sm 0.179 0.738 0.044
Sm2 Sm 0.262 0.821 0.456
Sm3 Sm 0.738 0.179 0.544
Sm4 Sm 0.821 0.262 0.956
Sc1 Sc 0.428 0.572 0.750
Sc2 Sc 0.572 0.428 0.250
```

***

It is entry ii that is the most stable of them.

***

Entry i
Computed, not measured: a relaxed structure of NdSm8Sc2 at the PBE level of DFT.

Summary:
- SG: No. 71

CIF file:
```
data_NdSm8Sc2
_chemical_formula_sum 'Nd1 Sm8 Sc2'
_symmetry_space_group_name_H-M 'P 1'
_symmetry_Int_Tables_number 1
_cell_length_a 9.296
_cell_length_b 9.296
_cell_length_c 9.296
_cell_angle_alpha 145.60
_cell_angle_beta 126.73
_cell_angle_gamma 64.96
loop_
_symmetry_equiv_pos_as_xyz
'x,y,z'
loop_
_atom_site_label
_atom_site_type_symbol
_atom_site_fract_x
_atom_site_fract_y
_atom_site_fract_z
Nd1 Nd 0.000 0.000 0.000
Sm1 Sm 0.153 0.856 0.297
Sm2 Sm 0.163 0.663 0.500
Sm3 Sm 0.301 0.500 0.801
Sm4 Sm 0.441 0.144 0.297
Sm5 Sm 0.559 0.856 0.703
Sm6 Sm 0.699 0.500 0.199
Sm7 Sm 0.837 0.337 0.500
Sm8 Sm 0.847 0.144 0.703
Sc1 Sc 0.300 0.300 0.000
Sc2 Sc 0.700 0.700 0.000
```

***

Entry ii
Computed, not measured: a relaxed structure of NdSm8Sc2 at the PBE level of DFT.

Summary:
- SG: No. 12

CIF file:
```
data_NdSm8Sc2
_chemical_formula_sum 'Nd1 Sm8 Sc2'
_symmetry_space_group_name_H-M 'P 1'
_symmetry_Int_Tables_number 1
_cell_length_a 9.223
_cell_length_b 9.223
_cell_length_c 5.882
_cell_angle_alpha 105.22
_cell_angle_beta 105.22
_cell_angle_gamma 121.69
loop_
_symmetry_equiv_pos_as_xyz
'x,y,z'
loop_
_atom_site_label
_atom_site_type_symbol
_atom_site_fract_x
_atom_site_fract_y
_atom_site_fract_z
Nd1 Nd 0.000 0.000 0.000
Sm1 Sm 0.098 0.338 0.674
Sm2 Sm 0.208 0.792 0.000
Sm3 Sm 0.338 0.098 0.674
Sm4 Sm 0.424 0.424 0.207
Sm5 Sm 0.576 0.576 0.793
Sm6 Sm 0.662 0.902 0.326
Sm7 Sm 0.792 0.208 0.000
Sm8 Sm 0.902 0.662 0.326
Sc1 Sc 0.310 0.690 0.500
Sc2 Sc 0.690 0.310 0.500
```

***

It is entry i that is the most stable of them.